# TaZn2Re (PBE, optimized geometry)
data_TaZn2Re
_chemical_formula_sum 'Ta4 Zn8 Re4'
_cell_length_a 6.289
_cell_length_b 6.289
_cell_length_c 6.289
_cell_angle_alpha 90.00
_cell_angle_beta 90.00
_cell_angle_gamma 90.00
_symmetry_space_group_name_H-M 'P 1'
_symmetry_Int_Tables_number 1
_symmetry_space_group_name_Hall 'P 1'
loop_
_atom_site_label
_atom_site_type_symbol
_atom_site_fract_x
_atom_site_fract_y
_atom_site_fract_z
_atom_site_occupancy
Ta1 Ta 0.000 0.000 0.000 1
Ta2 Ta 0.000 0.500 0.500 1
Ta3 Ta 0.500 0.000 0.500 1
Ta4 Ta 0.500 0.500 0.000 1
Zn1 Zn 0.000 0.000 0.500 1
Zn2 Zn 0.000 0.500 0.000 1
Zn3 Zn 0.250 0.250 0.750 1
Zn4 Zn 0.250 0.750 0.250 1
Zn5 Zn 0.500 0.000 0.000 1
Zn6 Zn 0.500 0.500 0.500 1
Zn7 Zn 0.750 0.250 0.250 1
Zn8 Zn 0.750 0.750 0.750 1
Re1 Re 0.250 0.250 0.250 1
Re2 Re 0.250 0.750 0.750 1
Re3 Re 0.750 0.250 0.750 1
Re4 Re 0.750 0.750 0.250 1
# Energy ... -6.547 eV per atom
# DOS at the Fermi energy ... 4.8 states/eV per cell
# Energy relative to the lowest polymorph listed for this composition ... 0.1352 eV per atom
# Energy relative to the elements ... 0.66 eV per formula unit
# Symmetry ... F-43m, No. 216
# Total magnetization ... 0.000 μB per formula unit

# LaHf2Ir2 (PBE, optimized geometry)
data_LaHf2Ir2
_chemical_formula_sum 'La2 Hf4 Ir4'
_cell_length_a 4.334
_cell_length_b 4.334
_cell_length_c 12.503
_cell_angle_alpha 90.00
_cell_angle_beta 90.00
_cell_angle_gamma 90.00
_symmetry_space_group_name_H-M 'P 1'
_symmetry_Int_Tables_number 1
_symmetry_space_group_name_Hall 'P 1'
loop_
_atom_site_label
_atom_site_type_symbol
_atom_site_fract_x
_atom_site_fract_y
_atom_site_fract_z
_atom_site_occupancy
La1 La 0.000 0.000 0.000 1
La2 La 0.500 0.500 0.500 1
Hf1 Hf 0.000 0.000 0.368 1
Hf2 Hf 0.000 0.000 0.632 1
Hf3 Hf 0.500 0.500 0.132 1
Hf4 Hf 0.500 0.500 0.868 1
Ir1 Ir 0.000 0.500 0.250 1
Ir2 Ir 0.000 0.500 0.750 1
Ir3 Ir 0.500 0.000 0.250 1
Ir4 Ir 0.500 0.000 0.750 1
# Energy ... -8.869 eV per atom
# DOS at the Fermi energy ... 13.9 states/eV per cell
# Energy relative to the lowest polymorph listed for this composition ... 0.4859 eV per atom
# Energy relative to the elements ... -1.79 eV per formula unit
# Symmetry ... I4/mmm, No. 139
# Total magnetization ... 0.001 μB per formula unit

# Rb3AcHo2Te6 (PBE, optimized geometry)
data_Rb3AcHo2Te6
_chemical_formula_sum 'Rb3 Ac1 Ho2 Te6'
_cell_length_a 8.034
_cell_length_b 8.034
_cell_length_c 8.983
_cell_angle_alpha 98.61
_cell_angle_beta 98.61
_cell_angle_gamma 120.02
_symmetry_space_group_name_H-M 'P 1'
_symmetry_Int_Tables_number 1
_symmetry_space_group_name_Hall 'P 1'
loop_
_atom_site_label
_atom_site_type_symbol
_atom_site_fract_x
_atom_site_fract_y
_atom_site_fract_z
_atom_site_occupancy
Rb1 Rb 0.000 0.000 0.000 1
Rb2 Rb 0.338 0.662 0.000 1
Rb3 Rb 0.662 0.338 0.000 1
Ac1 Ac 0.500 0.500 0.500 1
Ho1 Ho 0.167 0.833 0.500 1
Ho2 Ho 0.833 0.167 0.500 1
Te1 Te 0.080 0.432 0.297 1
Te2 Te 0.215 0.215 0.701 1
Te3 Te 0.432 0.080 0.297 1
Te4 Te 0.568 0.920 0.703 1
Te5 Te 0.785 0.785 0.299 1
Te6 Te 0.920 0.568 0.703 1
# Energy ... -4.324 eV per atom
# DOS at the Fermi energy ... 0.0 states/eV per cell
# Energy relative to the elements, uncorrected ... -16.870 eV per formula unit
# Symmetry ... C2/m, No. 12
# Total magnetization ... 0.000 μB per formula unit

# Ac2DyZn3Pd4 (PBE, optimized geometry)
data_Ac2DyZn3Pd4
_chemical_formula_sum 'Ac2 Dy1 Zn3 Pd4'
_cell_length_a 4.462
_cell_length_b 4.462
_cell_length_c 11.179
_cell_angle_alpha 90.00
_cell_angle_beta 90.00
_cell_angle_gamma 90.00
_symmetry_space_group_name_H-M 'P 1'
_symmetry_Int_Tables_number 1
_symmetry_space_group_name_Hall 'P 1'
loop_
_atom_site_label
_atom_site_type_symbol
_atom_site_fract_x
_atom_site_fract_y
_atom_site_fract_z
_atom_site_occupancy
Ac1 Ac 0.000 0.500 0.223 1
Ac2 Ac 0.500 0.000 0.777 1
Dy1 Dy 0.000 0.000 0.500 1
Zn1 Zn 0.000 0.500 0.886 1
Zn2 Zn 0.500 0.000 0.114 1
Zn3 Zn 0.500 0.500 0.500 1
Pd1 Pd 0.000 0.000 0.000 1
Pd2 Pd 0.000 0.500 0.654 1
Pd3 Pd 0.500 0.000 0.346 1
Pd4 Pd 0.500 0.500 0.000 1
# Energy ... -4.405 eV per atom
# DOS at the Fermi energy ... 6.8 states/eV per cell
# Energy relative to the elements ... -6.64 eV per formula unit
# Symmetry ... P-4m2, No. 115
# Total magnetization ... 0.000 μB per formula unit